# Zn2PtW PBE optimized geometry
# final energy	-21.81	eV per cell
# volume	14.914	Å³ per atom
# ΔE to the lowest computed polymorph	0.044	eV per atom
# D(E_F)	1.72	states/eV/f.u.
# M_tot	0.00	μB/f.u.
# energy relative to the elements	-0.067	eV/atom
data_Zn2PtW
_chemical_formula_sum 'Zn2 Pt1 W1'
_cell_length_a 2.7688
_cell_length_b 2.7688
_cell_length_c 7.7816
_cell_angle_alpha 90.00
_cell_angle_beta 90.00
_cell_angle_gamma 90.00
_symmetry_space_group_name_H-M 'P 4/m m m'
_symmetry_Int_Tables_number 123
_symmetry_space_group_name_Hall '-P 4 2'
loop_
_atom_site_label
_atom_site_fract_x
_atom_site_fract_y
_atom_site_fract_z
Zn1 0.0000 0.0000 0.2390
Pt1 0.5000 0.5000 0.0000
W1 0.5000 0.5000 0.5000